[1]
First-principles (PBE) data for crystalline Ho12Zn3H5 at its relaxed geometry, as listed in Alexandria via LeMat-Bulk.

Cell lengths 13.130, 13.130, 13.130 Å; angles 109.47, 109.47, 109.47 degrees
Sites, in units of the cell vectors:
H (0.125, 0.375, 0.250)
H (0.000, 0.500, 0.000)
H (0.000, 0.000, 0.000)
H (0.375, 0.250, 0.125)
H (0.500, 0.000, 0.500)
H (0.500, 0.500, 0.000)
H (0.125, 0.750, 0.375)
H (0.750, 0.125, 0.875)
H (0.750, 0.625, 0.375)
H (0.375, 0.125, 0.750)
H (0.625, 0.875, 0.250)
H (0.500, 0.500, 0.500)
H (0.500, 0.000, 0.000)
H (0.000, 0.000, 0.500)
H (0.250, 0.375, 0.625)
H (0.250, 0.875, 0.125)
H (0.000, 0.500, 0.500)
H (0.875, 0.250, 0.625)
H (0.625, 0.750, 0.875)
H (0.875, 0.625, 0.750)
Zn (0.750, 0.375, 0.125)
Zn (0.875, 0.750, 0.125)
Zn (0.375, 0.750, 0.625)
Zn (0.250, 0.125, 0.375)
Zn (0.875, 0.125, 0.250)
Zn (0.375, 0.625, 0.250)
Zn (0.625, 0.375, 0.750)
Zn (0.125, 0.875, 0.750)
Zn (0.750, 0.875, 0.625)
Zn (0.625, 0.250, 0.375)
Zn (0.125, 0.250, 0.875)
Zn (0.250, 0.625, 0.875)
Ho (0.709, 0.113, 0.017)
Ho (0.309, 0.517, 0.405)
Ho (0.983, 0.387, 0.291)
Ho (0.517, 0.209, 0.113)
Ho (0.596, 0.709, 0.691)
Ho (0.983, 0.595, 0.191)
Ho (0.309, 0.791, 0.404)
Ho (0.095, 0.904, 0.113)
Ho (0.595, 0.983, 0.691)
Ho (0.709, 0.596, 0.191)
Ho (0.791, 0.483, 0.387)
Ho (0.809, 0.905, 0.017)
Ho (0.113, 0.709, 0.517)
Ho (0.387, 0.405, 0.096)
Ho (0.096, 0.905, 0.387)
Ho (0.404, 0.113, 0.595)
Ho (0.096, 0.191, 0.209)
Ho (0.483, 0.691, 0.095)
Ho (0.809, 0.904, 0.291)
Ho (0.113, 0.404, 0.095)
Ho (0.387, 0.983, 0.791)
Ho (0.595, 0.613, 0.404)
Ho (0.905, 0.809, 0.517)
Ho (0.791, 0.309, 0.904)
Ho (0.405, 0.387, 0.596)
Ho (0.095, 0.191, 0.483)
Ho (0.209, 0.691, 0.096)
Ho (0.191, 0.096, 0.709)
Ho (0.613, 0.017, 0.209)
Ho (0.887, 0.596, 0.905)
Ho (0.517, 0.309, 0.905)
Ho (0.596, 0.887, 0.405)
Ho (0.904, 0.809, 0.791)
Ho (0.904, 0.095, 0.613)
Ho (0.887, 0.291, 0.483)
Ho (0.191, 0.095, 0.983)
Ho (0.613, 0.595, 0.904)
Ho (0.405, 0.017, 0.309)
Ho (0.291, 0.404, 0.809)
Ho (0.209, 0.517, 0.613)
Ho (0.905, 0.096, 0.887)
Ho (0.691, 0.209, 0.596)
Ho (0.483, 0.791, 0.887)
Ho (0.017, 0.405, 0.809)
Ho (0.404, 0.291, 0.309)
Ho (0.017, 0.613, 0.709)
Ho (0.691, 0.483, 0.595)
Ho (0.291, 0.887, 0.983)

Output
The value obtained for the total magnetization is 0.000 μB per formula unit. For the total energy, the calculation gives -320.5 eV for the cell shown.



[2]
First-principles (PBE) data for crystalline Ho3ZnH at its relaxed geometry, as listed in Alexandria via LeMat-Bulk.

Cell lengths 4.740, 4.740, 4.740 Å; angles 90.00, 90.00, 90.00 degrees
Site moments in Bohr magnetons follow the coordinates.
Sites, in units of the cell vectors:
H (0.000, 0.000, 0.000)  -0.01
Zn (0.500, 0.500, 0.500)  0.01
Ho (0.000, 0.500, 0.000)  0.35
Ho (0.000, 0.000, 0.500)  0.35
Ho (0.500, 0.000, 0.000)  0.35

Output
The value obtained for the total magnetization is 1.301 μB per formula unit. For the total energy, the calculation gives -19.2 eV for the cell shown.



[3]
First-principles (PBE) data for crystalline Ho2ZnH at its relaxed geometry, as listed in Alexandria via LeMat-Bulk.

Cell lengths 3.625, 3.625, 7.310 Å; angles 75.65, 75.65, 60.00 degrees
Sites, in units of the cell vectors:
H (0.500, 0.500, 0.500)
Zn (0.000, 0.000, 0.000)
Ho (0.768, 0.768, 0.695)
Ho (0.232, 0.232, 0.305)

Output
The value obtained for the total magnetization is 0.000 μB per formula unit. For the total energy, the calculation gives -14.7 eV for the cell shown.



[4]
First-principles (PBE) data for crystalline HoZrH2 at its relaxed geometry, as listed in Alexandria via LeMat-Bulk.

Cell lengths 3.352, 3.352, 5.837 Å; angles 73.31, 73.31, 60.00 degrees
Sites, in units of the cell vectors:
H (0.233, 0.233, 0.301)
H (0.767, 0.767, 0.699)
Ho (0.000, 0.000, 0.000)
Zr (0.500, 0.500, 0.500)

Output
The value obtained for the total magnetization is 0.000 μB per formula unit. For the total energy, the calculation gives -21.1 eV for the cell shown.